# CsTm2AgS4

A geometry-optimized CsTm2AgS4 structure (PBE, Alexandria).

energy: -5.18 eV/atom
mass density: 5.8 g/cm3
total magnetic moment: 0.0 μB per formula unit

a = 7.2782 Å, b = 7.2782 Å, c = 14.2015 Å
α = 90.00°, β = 90.00°, γ = 147.53°
Fractional positions:
Cs (0.1136, 0.8864, 0.7500)
Cs (0.8864, 0.1136, 0.2500)
Tm (0.3683, 0.6317, 0.5638)
Tm (0.3683, 0.6317, 0.9362)
Tm (0.6317, 0.3683, 0.0638)
Tm (0.6317, 0.3683, 0.4362)
Ag (0.1697, 0.8303, 0.2500)
Ag (0.8303, 0.1697, 0.7500)
S (0.0000, 0.0000, 0.0000)
S (0.0000, 0.0000, 0.5000)
S (0.2550, 0.7450, 0.0946)
S (0.2550, 0.7450, 0.4054)
S (0.4312, 0.5688, 0.7500)
S (0.5688, 0.4312, 0.2500)
S (0.7450, 0.2550, 0.5946)
S (0.7450, 0.2550, 0.9054)